An optimized crystal structure of NaAcMnO4. Source: Alexandria via LeMat-Bulk, functional GGA+U.

Structure (POSCAR):
```
NaAcMnO4
1.0
5.912 0.000 0.081
0.000 5.839 0.000
-2.217 0.000 6.377
O Mn Ac Na
8 2 2 2
direct
0.466 0.750 0.161
0.953 0.026 0.763
0.523 0.250 0.419
0.047 0.974 0.237
0.953 0.474 0.763
0.477 0.750 0.581
0.047 0.526 0.237
0.534 0.250 0.839
0.728 0.250 0.672
0.272 0.750 0.328
0.734 0.750 0.945
0.266 0.250 0.055
0.824 0.750 0.473
0.176 0.250 0.527
```

Summary:
- E (eV/cell) = -94.12